Record 1
FeTc2Sb after structural relaxation. Source: Alexandria, functional PBE.

For the formation energy from raw total energies, the calculation gives 1.235 eV per formula unit. The magnetic moment is 3.45 μB/cell.

The structure belongs to space group Amm2 (No. 38); the cell edges are 4.091, 2.901 and 10.378 Å and the angles 90.00°, 90.00° and 90.00°. Symmetry generates all atoms from Fe at (0.000, 0.000, 0.000), Tc at (0.000, 0.000, 0.770), Tc at (0.500, 0.000, 0.401) and Sb at (0.500, 0.000, 0.143).

Record 2
FeTc2Sb after structural relaxation. Source: Alexandria, functional PBE.

For the formation energy from raw total energies, the calculation gives 4.043 eV per formula unit. The magnetic moment is 0.00 μB/cell.

The structure belongs to space group I-42d (No. 122); the cell edges are 5.617, 5.617 and 10.906 Å and the angles 90.00°, 90.00° and 90.00°. Symmetry generates all atoms from Fe at (0.000, 0.000, 0.000), Tc at (0.190, 0.250, 0.125) and Sb at (0.000, 0.000, 0.500).

Record 3
FeTcSb after structural relaxation. Source: Alexandria, functional PBE.

The distance to the lowest polymorph of the same formula comes out at 0.084 eV per atom. For the formation energy from raw total energies, the calculation gives 0.796 eV per formula unit. The magnetic moment is 7.43 μB/cell.

The structure belongs to space group I4mm (No. 107); the cell edges are 3.337, 3.337 and 8.664 Å and the angles 90.00°, 90.00° and 90.00°. Symmetry generates all atoms from Fe at (0.000, 0.000, 0.000), Tc at (0.000, 0.000, 0.657) and Sb at (0.000, 0.000, 0.329).

Record 4
FeTc2Sb after structural relaxation. Source: Alexandria, functional PBE.

For the formation energy from raw total energies, the calculation gives 1.101 eV per formula unit. The magnetic moment is 0.01 μB/cell.

The structure belongs to space group I4/mmm (No. 139); the cell edges are 3.837, 3.837 and 8.065 Å and the angles 90.00°, 90.00° and 90.00°. Symmetry generates all atoms from Fe at (0.000, 0.000, 0.000), Tc at (0.000, 0.500, 0.250) and Sb at (0.000, 0.000, 0.500).

Record 5
FeTcSb2Te after structural relaxation. Source: Alexandria, functional PBE.

The distance to the lowest polymorph of the same formula comes out at 0.000 eV per atom. For the formation energy from raw total energies, the calculation gives 4.886 eV per formula unit. The magnetic moment is 1.19 μB/cell.

The structure belongs to space group P4/mmm (No. 123); the cell edges are 4.884, 4.884 and 5.041 Å and the angles 90.00°, 90.00° and 90.00°. Symmetry generates all atoms from Fe at (0.000, 0.000, 0.000), Tc at (0.500, 0.500, 0.500), Sb at (0.000, 0.500, 0.000) and Te at (0.000, 0.000, 0.500).

Record 6
FeTcSbTe2 after structural relaxation. Source: Alexandria, functional PBE.

The distance to the lowest polymorph of the same formula comes out at 0.005 eV per atom. For the formation energy from raw total energies, the calculation gives 4.971 eV per formula unit. The magnetic moment is 1.34 μB/cell.

The structure belongs to space group P4/mmm (No. 123); the cell edges are 5.049, 5.049 and 4.873 Å and the angles 90.00°, 90.00° and 90.00°. Symmetry generates all atoms from Fe at (0.000, 0.000, 0.000), Tc at (0.500, 0.500, 0.500), Sb at (0.000, 0.000, 0.500) and Te at (0.000, 0.500, 0.000).